1.
Entry from the Alexandria database: MnCu4Au7 after structural relaxation (PBE-GGA).

Results
SG: C2/m
Energy relative to the elements: 148 meV per atom
Volume: 212 Å³/cell
DOS(E_F): 4.4 states/eV/f.u.
Magnetization: 4.507 μB per cell

POSCAR file:
```
MnCu4Au7
1.0
5.634 -2.433 0.000
5.634 2.433 0.000
-5.114 0.000 7.726
Mn Cu Au
1 4 7
direct
0.000 0.000 0.000
0.289 0.289 0.671
0.434 0.434 0.226
0.566 0.566 0.774
0.711 0.711 0.329
0.075 0.075 0.336
0.212 0.212 0.896
0.355 0.355 0.437
0.500 0.500 0.000
0.645 0.645 0.563
0.788 0.788 0.104
0.925 0.925 0.664
```

***

2.
Entry from the Alexandria database: CaLa2Se4 after structural relaxation (PBE-GGA).

Results
SG: I-42d
Volume: 372 Å³/cell
DOS(E_F): 0.0 states/eV/f.u.
Formation energy (no corrections): -2.032 eV per atom
Magnetization: 0.000 μB per cell
Distance to the lowest polymorph of the same formula: 0.000 eV per atom

POSCAR file:
```
CaLa2Se4
1.0
-4.519 4.519 4.558
4.519 -4.519 4.558
4.519 4.519 -4.558
Ca La Se
2 4 8
direct
0.000 0.000 0.000
0.750 0.250 0.500
0.246 0.125 0.621
0.375 0.754 0.879
0.504 0.625 0.379
0.875 0.496 0.121
0.124 0.376 0.894
0.126 0.374 0.394
0.268 0.874 0.247
0.482 0.230 0.106
0.624 0.518 0.747
0.626 0.020 0.753
0.770 0.876 0.253
0.980 0.732 0.606
```

***

3.
Entry from the Alexandria database: NbGaRuRh after structural relaxation (PBE-GGA).

Results
SG: I-4m2
Energy relative to the elements: -514 meV per atom
Volume: 60 Å³/cell
DOS(E_F): 1.0 states/eV/f.u.
Magnetization: 0.000 μB per cell

POSCAR file:
```
NbGaRuRh
1.0
-2.087 2.087 3.473
2.087 -2.087 3.473
2.087 2.087 -3.473
Nb Ga Ru Rh
1 1 1 1
direct
0.000 0.000 0.000
0.500 0.500 0.000
0.750 0.250 0.500
0.250 0.750 0.500
```

***

4.
Entry from the Alexandria database: Mg2CdIr after structural relaxation (PBE-GGA).

Results
SG: Cm
Energy relative to the elements: -205 meV per atom
Volume: 71 Å³/cell
DOS(E_F): 0.7 states/eV/f.u.
Magnetization: 0.000 μB per cell

POSCAR file:
```
Mg2CdIr
1.0
5.205 -1.665 0.000
5.205 1.665 0.000
-1.932 0.000 4.088
Mg Cd Ir
2 1 1
direct
0.000 0.000 0.000
0.227 0.227 0.722
0.760 0.760 0.256
0.502 0.502 0.503
```

***

5.
Entry from the Alexandria database: Sm2BeWN5 after structural relaxation (PBE-GGA).

Results
SG: Cmc2_1
Volume: 218 Å³/cell
DOS(E_F): 2.8 states/eV/f.u.
Formation energy (no corrections): -0.823 eV per atom
Magnetization: 0.926 μB per cell

POSCAR file:
```
Sm2BeWN5
1.0
1.582 -7.053 0.000
1.582 7.053 0.000
0.000 0.000 9.757
Sm Be W N
4 2 2 10
direct
0.115 0.885 0.500
0.120 0.880 0.119
0.880 0.120 0.619
0.885 0.115 0.000
0.461 0.539 0.251
0.539 0.461 0.751
0.208 0.792 0.810
0.792 0.208 0.310
0.047 0.953 0.804
0.303 0.697 0.170
0.303 0.697 0.446
0.342 0.658 0.812
0.499 0.501 0.084
0.501 0.499 0.584
0.658 0.342 0.312
0.697 0.303 0.670
0.697 0.303 0.946
0.953 0.047 0.304
```

***

6.
Entry from the Alexandria database: Er6InCo2 after structural relaxation (PBE-GGA).

Results
SG: Immm
Energy relative to the elements: -292 meV per atom
Volume: 440 Å³/cell
DOS(E_F): 7.1 states/eV/f.u.
Magnetization: 0.000 μB per cell

POSCAR file:
```
Er6InCo2
1.0
-4.668 4.753 4.955
4.668 -4.753 4.955
4.668 4.753 -4.955
Er In Co
12 2 4
direct
0.019 0.231 0.788
0.188 0.288 0.476
0.188 0.712 0.899
0.315 0.012 0.697
0.315 0.617 0.303
0.444 0.231 0.212
0.556 0.769 0.788
0.685 0.383 0.697
0.685 0.988 0.303
0.812 0.288 0.101
0.812 0.712 0.524
0.981 0.769 0.212
0.000 0.000 0.000
0.500 0.500 0.000
0.113 0.613 0.500
0.378 0.000 0.378
0.622 0.000 0.622
0.887 0.387 0.500
```

***

7.
Entry from the Alexandria database: CrPAu after structural relaxation (PBE-GGA).

Results
SG: P3m1
Energy relative to the elements: 156 meV per atom
Volume: 45 Å³/cell
DOS(E_F): 1.5 states/eV/f.u.
Magnetization: 0.000 μB per cell
Distance to the lowest polymorph of the same formula: 0.087 eV per atom

POSCAR file:
```
CrPAu
1.0
2.885 0.000 0.000
-1.442 2.498 0.000
0.000 0.000 6.249
Cr P Au
1 1 1
direct
0.000 0.000 0.000
0.667 0.333 0.247
0.333 0.667 0.645
```

***

8.
Entry from the Alexandria database: LiMnCuAs after structural relaxation (PBE-GGA).

Results
SG: F-43m
Energy relative to the elements: -142 meV per atom
Volume: 55 Å³/cell
DOS(E_F): 1.6 states/eV/f.u.
Magnetization: 3.627 μB per cell

POSCAR file:
```
LiMnCuAs
1.0
0.000 3.018 3.018
3.018 0.000 3.018
3.018 3.018 0.000
Li Mn Cu As
1 1 1 1
direct
0.000 0.000 0.000
0.500 0.500 0.500
0.750 0.750 0.750
0.250 0.250 0.250
```